(1)
# PuNp5N6 | Alexandria via LeMat-Bulk | GGA-PBE | relaxed
# Total magnetic moment: 41.26 μB per cell
# Calculated density: 14.383 g cm⁻³
# VASP energy: -11.879 eV per atom
data_PuNp5N6
_chemical_formula_sum 'Pu2 Np10 N12'
_cell_length_a 5.979
_cell_length_b 10.357
_cell_length_c 5.983
_cell_angle_alpha 90.00
_cell_angle_beta 109.43
_cell_angle_gamma 90.00
_space_group_name_H-M_alt 'C 1 2/m 1'
_space_group_IT_number 12
loop_
_space_group_symop_operation_xyz
'x,y,z'
'-x,-y,-z'
'-x,y,-z'
'x,-y,z'
'x+1/2,y+1/2,z'
'-x+1/2,-y+1/2,-z'
'-x+1/2,y+1/2,-z'
'x+1/2,-y+1/2,z'
loop_
_atom_site_label
_atom_site_type_symbol
_atom_site_fract_x
_atom_site_fract_y
_atom_site_fract_z
Pu1 Pu 0.000 0.000 0.000
Np1 Np 0.000 0.166 0.500
Np2 Np 0.000 0.333 0.000
Np3 Np 0.000 0.500 0.500
N1 N 0.247 0.332 0.748
N2 N 0.247 0.500 0.252

(2)
# Pu3Np2N8 | Alexandria via LeMat-Bulk | GGA-PBE | relaxed
# Total magnetic moment: 28.00 μB per cell
# Calculated density: 12.720 g cm⁻³
# VASP energy: -11.224 eV per atom
data_Pu3Np2N8
_chemical_formula_sum 'Pu6 Np4 N16'
_cell_length_a 8.379
_cell_length_b 11.166
_cell_length_c 3.678
_cell_angle_alpha 90.00
_cell_angle_beta 90.00
_cell_angle_gamma 90.00
_space_group_name_H-M_alt 'C m m m'
_space_group_IT_number 65
_space_group_name_Hall '-C 2 2'
loop_
_atom_site_label
_atom_site_type_symbol
_atom_site_fract_x
_atom_site_fract_y
_atom_site_fract_z
Pu1 Pu 0.000 0.000 0.000
Pu2 Pu 0.208 0.500 0.500
Np1 Np 0.000 0.274 0.000
N1 N 0.000 0.123 0.500
N2 N 0.000 0.378 0.500
N3 N 0.231 0.379 0.000

(3)
# PuNp2N4 | Alexandria via LeMat-Bulk | GGA-PBE | relaxed
# Total magnetic moment: 40.01 μB per cell
# Calculated density: 12.870 g cm⁻³
# VASP energy: -11.642 eV per atom
data_PuNp2N4
_chemical_formula_sum 'Pu4 Np8 N16'
_cell_length_a 3.385
_cell_length_b 11.218
_cell_length_c 10.520
_cell_angle_alpha 90.00
_cell_angle_beta 90.00
_cell_angle_gamma 90.00
_space_group_name_H-M_alt 'C m c m'
_space_group_IT_number 63
_space_group_name_Hall '-C 2c 2'
loop_
_atom_site_label
_atom_site_type_symbol
_atom_site_fract_x
_atom_site_fract_y
_atom_site_fract_z
Pu1 Pu 0.000 0.114 0.250
Np1 Np 0.000 0.369 0.072
N1 N 0.000 0.000 0.000
N2 N 0.000 0.270 0.608
N3 N 0.000 0.473 0.250

(4)
# Pu3NpN6 | Alexandria via LeMat-Bulk | GGA-PBE | relaxed
# Total magnetic moment: 78.00 μB per cell
# Calculated density: 11.603 g cm⁻³
# VASP energy: -11.723 eV per atom
data_Pu3NpN6
_chemical_formula_sum 'Pu18 Np6 N36'
_cell_length_a 9.5978
_cell_length_b 9.5978
_cell_length_c 11.3349
_cell_angle_alpha 90.00
_cell_angle_beta 90.00
_cell_angle_gamma 120.00
_space_group_name_H-M_alt 'R -3'
_space_group_IT_number 148
_space_group_name_Hall '-R 3'
loop_
_atom_site_label
_atom_site_type_symbol
_atom_site_fract_x
_atom_site_fract_y
_atom_site_fract_z
Pu1 Pu 0.0364 0.7702 0.2127
Np1 Np 0.0000 0.0000 0.0000
Np2 Np 0.0000 0.0000 0.5000
N1 N 0.0265 0.8438 0.8754
N2 N 0.0367 0.8215 0.4091

(5)
# PuNp6N12 | Alexandria via LeMat-Bulk | GGA-PBE | relaxed
# Total magnetic moment: 42.00 μB per cell
# Calculated density: 11.893 g cm⁻³
# VASP energy: -11.200 eV per atom
data_PuNp6N12
_chemical_formula_sum 'Pu3 Np18 N36'
_cell_length_a 9.8757
_cell_length_b 9.8757
_cell_length_c 9.0958
_cell_angle_alpha 90.00
_cell_angle_beta 90.00
_cell_angle_gamma 120.00
_space_group_name_H-M_alt 'R -3'
_space_group_IT_number 148
_space_group_name_Hall '-R 3'
loop_
_atom_site_label
_atom_site_type_symbol
_atom_site_fract_x
_atom_site_fract_y
_atom_site_fract_z
Pu1 Pu 0.0000 0.0000 0.0000
Np1 Np 0.0484 0.7929 0.6569
N1 N 0.0337 0.8088 0.4010
N2 N 0.0410 0.8242 0.8954

(6)
# PuNpN3 | Alexandria via LeMat-Bulk | GGA-PBE | relaxed
# Total magnetic moment: 24.00 μB per cell
# Calculated density: 11.661 g cm⁻³
# VASP energy: -11.547 eV per atom
data_PuNpN3
_chemical_formula_sum 'Pu4 Np4 N12'
_cell_length_a 12.135
_cell_length_b 3.801
_cell_length_c 6.506
_cell_angle_alpha 90.00
_cell_angle_beta 96.87
_cell_angle_gamma 90.00
_space_group_name_H-M_alt 'C 1 2/m 1'
_space_group_IT_number 12
loop_
_space_group_symop_operation_xyz
'x,y,z'
'-x,-y,-z'
'-x,y,-z'
'x,-y,z'
'x+1/2,y+1/2,z'
'-x+1/2,-y+1/2,-z'
'-x+1/2,y+1/2,-z'
'x+1/2,-y+1/2,z'
loop_
_atom_site_label
_atom_site_type_symbol
_atom_site_fract_x
_atom_site_fract_y
_atom_site_fract_z
Pu1 Pu 0.135 0.000 0.373
Np1 Np 0.129 0.500 0.904
N1 N 0.053 0.500 0.196
N2 N 0.179 0.500 0.593
N3 N 0.181 0.000 0.040

(7)
# PuNpN3 | Alexandria via LeMat-Bulk | GGA-PBE | relaxed
# Total magnetic moment: 24.00 μB per cell
# Calculated density: 12.763 g cm⁻³
# VASP energy: -11.508 eV per atom
data_PuNpN3
_chemical_formula_sum 'Pu4 Np4 N12'
_cell_length_a 7.112
_cell_length_b 5.565
_cell_length_c 7.102
_cell_angle_alpha 90.00
_cell_angle_beta 104.47
_cell_angle_gamma 90.00
_space_group_name_H-M_alt 'P 1 21/c 1'
_space_group_IT_number 14
loop_
_space_group_symop_operation_xyz
'x,y,z'
'-x,-y,-z'
'-x,y+1/2,-z+1/2'
'x,-y+1/2,z+1/2'
loop_
_atom_site_label
_atom_site_type_symbol
_atom_site_fract_x
_atom_site_fract_y
_atom_site_fract_z
Pu1 Pu 0.125 0.246 0.156
Np1 Np 0.392 0.749 0.473
N1 N 0.154 0.506 0.410
N2 N 0.156 0.508 0.918
N3 N 0.488 0.007 0.247

(8)
# Pu2NpN | Alexandria via LeMat-Bulk | GGA-PBE | relaxed
# Total magnetic moment: 5.08 μB per cell
# Calculated density: 19.346 g cm⁻³
# VASP energy: -12.105 eV per atom
data_Pu2NpN
_chemical_formula_sum 'Pu2 Np1 N1'
_cell_length_a 4.160
_cell_length_b 4.160
_cell_length_c 3.665
_cell_angle_alpha 90.00
_cell_angle_beta 90.00
_cell_angle_gamma 90.00
_space_group_name_H-M_alt 'P 4/m m m'
_space_group_IT_number 123
_space_group_name_Hall '-P 4 2'
loop_
_atom_site_label
_atom_site_type_symbol
_atom_site_fract_x
_atom_site_fract_y
_atom_site_fract_z
Pu1 Pu 0.000 0.500 0.000
Np1 Np 0.000 0.000 0.500
N1 N 0.500 0.500 0.500

(9)
# Pu4NpN5 | Alexandria via LeMat-Bulk | GGA-PBE | relaxed
# Total magnetic moment: 45.41 μB per cell
# Calculated density: 14.237 g cm⁻³
# VASP energy: -12.412 eV per atom
data_Pu4NpN5
_chemical_formula_sum 'Pu8 Np2 N10'
_cell_length_a 7.792
_cell_length_b 7.792
_cell_length_c 4.930
_cell_angle_alpha 90.00
_cell_angle_beta 90.00
_cell_angle_gamma 90.00
_space_group_name_H-M_alt 'I 4/m'
_space_group_IT_number 87
_space_group_name_Hall '-I 4'
loop_
_atom_site_label
_atom_site_type_symbol
_atom_site_fract_x
_atom_site_fract_y
_atom_site_fract_z
Pu1 Pu 0.099 0.700 0.000
Np1 Np 0.000 0.000 0.500
N1 N 0.000 0.000 0.000
N2 N 0.099 0.707 0.500

(10)
# Rb2PuNpN4 | Alexandria via LeMat-Bulk | GGA-PBE | relaxed
# Total magnetic moment: 5.00 μB per cell
# Calculated density: 8.145 g cm⁻³
# VASP energy: -8.534 eV per atom
data_Rb2PuNpN4
_chemical_formula_sum 'Rb2 Pu1 Np1 N4'
_cell_length_a 6.120
_cell_length_b 3.534
_cell_length_c 6.985
_cell_angle_alpha 90.00
_cell_angle_beta 107.18
_cell_angle_gamma 90.00
_space_group_name_H-M_alt 'P 1 2/m 1'
_space_group_IT_number 10
loop_
_space_group_symop_operation_xyz
'x,y,z'
'-x,-y,-z'
'-x,y,-z'
'x,-y,z'
loop_
_atom_site_label
_atom_site_type_symbol
_atom_site_fract_x
_atom_site_fract_y
_atom_site_fract_z
Rb1 Rb 0.000 0.000 0.000
Rb2 Rb 0.500 0.500 0.000
Pu1 Pu 0.000 0.500 0.500
Np1 Np 0.500 0.000 0.500
N1 N 0.228 0.000 0.647
N2 N 0.295 0.500 0.349

(11)
# PuNp2RhN4 | Alexandria via LeMat-Bulk | GGA-PBE | relaxed
# Total magnetic moment: 35.91 μB per cell
# Calculated density: 13.028 g cm⁻³
# VASP energy: -10.959 eV per atom
data_PuNp2RhN4
_chemical_formula_sum 'Pu4 Np8 Rh4 N16'
_cell_length_a 3.432
_cell_length_b 11.301
_cell_length_c 11.526
_cell_angle_alpha 90.00
_cell_angle_beta 90.00
_cell_angle_gamma 90.00
_space_group_name_H-M_alt 'C m c m'
_space_group_IT_number 63
_space_group_name_Hall '-C 2c 2'
loop_
_atom_site_label
_atom_site_type_symbol
_atom_site_fract_x
_atom_site_fract_y
_atom_site_fract_z
Pu1 Pu 0.000 0.110 0.250
Np1 Np 0.000 0.372 0.058
Rh1 Rh 0.000 0.160 0.750
N1 N 0.000 0.000 0.000
N2 N 0.000 0.274 0.603
N3 N 0.000 0.470 0.250

(12)
# Pu2NpRuN4 | Alexandria via LeMat-Bulk | GGA-PBE | relaxed
# Total magnetic moment: 22.45 μB per cell
# Calculated density: 13.177 g cm⁻³
# VASP energy: -11.322 eV per atom
data_Pu2NpRuN4
_chemical_formula_sum 'Pu8 Np4 Ru4 N16'
_cell_length_a 3.322
_cell_length_b 11.495
_cell_length_c 11.643
_cell_angle_alpha 90.00
_cell_angle_beta 90.00
_cell_angle_gamma 90.00
_space_group_name_H-M_alt 'C m c m'
_space_group_IT_number 63
_space_group_name_Hall '-C 2c 2'
loop_
_atom_site_label
_atom_site_type_symbol
_atom_site_fract_x
_atom_site_fract_y
_atom_site_fract_z
Pu1 Pu 0.000 0.132 0.052
Np1 Np 0.000 0.388 0.250
Ru1 Ru 0.000 0.353 0.750
N1 N 0.000 0.036 0.250
N2 N 0.000 0.222 0.628
N3 N 0.000 0.500 0.000